This record from Alexandria via LeMat-Bulk describes a crystal of Li2NiRh relaxed with PBEsol. The functional is SCAN. Values from VASP.

```
&SYSTEM
  ibrav = 0, nat = 4, ntyp = 3
/
ATOMIC_SPECIES
Ni 58.69 Ni.upf
Rh 102.91 Rh.upf
Li 6.94 Li.upf
CELL_PARAMETERS angstrom
2.571 0.000 0.000
1.285 2.226 0.000
1.285 0.742 8.446
ATOMIC_POSITIONS angstrom
Ni 2.571 1.484 4.223
Rh 0.000 0.000 0.000
Li 1.285 0.742 2.156
Li 3.856 2.226 6.290
```

Calculated values
* SG: R-3m (166)
* E: -13.75 eV/atom
* relative energy among the computed polymorphs: 62 meV per atom
* formation energy from the elements: -0.072 eV/atom


This record from Alexandria via LeMat-Bulk describes a crystal of Li2NiRh relaxed with PBEsol. The functional is SCAN. Values from VASP.

```
&SYSTEM
  ibrav = 0, nat = 4, ntyp = 3
/
ATOMIC_SPECIES
Ni 58.69 Ni.upf
Rh 102.91 Rh.upf
Li 6.94 Li.upf
CELL_PARAMETERS angstrom
-2.930 1.736 -0.652
-1.662 -2.999 -0.515
1.345 0.490 4.479
ATOMIC_POSITIONS angstrom
Ni -2.296 -0.632 -0.583
Rh 0.000 0.000 0.000
Li -1.940 0.797 1.622
Li -1.306 -1.571 1.691
```

Calculated values
* SG: I4/mmm (139)
* E: -13.72 eV/atom
* relative energy among the computed polymorphs: 94 meV per atom
* formation energy from the elements: -0.039 eV/atom


This record from Alexandria via LeMat-Bulk describes a crystal of Li2NiRh relaxed with PBEsol. The functional is SCAN. Values from VASP.

```
&SYSTEM
  ibrav = 0, nat = 4, ntyp = 3
/
ATOMIC_SPECIES
Ni 58.69 Ni.upf
Rh 102.91 Rh.upf
Li 6.94 Li.upf
CELL_PARAMETERS angstrom
3.470 0.000 0.000
0.000 3.470 0.000
0.000 0.000 4.008
ATOMIC_POSITIONS angstrom
Ni 1.735 1.735 2.004
Rh 0.000 0.000 2.004
Li 0.000 1.735 0.000
Li 1.735 0.000 0.000
```

Calculated values
* SG: P4/mmm (123)
* E: -13.72 eV/atom
* relative energy among the computed polymorphs: 91 meV per atom
* formation energy from the elements: -0.042 eV/atom